1.
A relaxed structure of CdCu2P, computed with PBE.

a b c (Å): 2.972 2.972 24.442
angles (deg): 90.00 90.00 120.00
Positions (direct):
1 Cd 0.000 0.000 0.000
2 Cd 0.333 0.667 0.667
3 Cd 0.667 0.333 0.333
4 Cu 0.000 0.000 0.244
5 Cu 0.000 0.000 0.500
6 Cu 0.333 0.667 0.167
7 Cu 0.333 0.667 0.910
8 Cu 0.667 0.333 0.577
9 Cu 0.667 0.333 0.834
10 P 0.000 0.000 0.767
11 P 0.333 0.667 0.434
12 P 0.667 0.333 0.101

Summary:
ΔE_f (eV/atom): 0.2277
Spin magnetization (μB/f.u.): 0.00
Offset from the most stable computed form (meV/atom): 112
Symmetry: R3m, No. 160

---

2.
A relaxed structure of CdCu2P, computed with PBE.

a b c (Å): 2.986 2.986 23.797
angles (deg): 90.00 90.00 120.00
Positions (direct):
1 Cd 0.000 0.000 0.000
2 Cd 0.333 0.667 0.667
3 Cd 0.667 0.333 0.333
4 Cu 0.000 0.000 0.238
5 Cu 0.000 0.000 0.762
6 Cu 0.333 0.667 0.429
7 Cu 0.333 0.667 0.905
8 Cu 0.667 0.333 0.095
9 Cu 0.667 0.333 0.571
10 P 0.000 0.000 0.500
11 P 0.333 0.667 0.167
12 P 0.667 0.333 0.833

Summary:
ΔE_f (eV/atom): 0.1518
Spin magnetization (μB/f.u.): 0.00
Offset from the most stable computed form (meV/atom): 36
Symmetry: R-3m, No. 166

---

3.
A relaxed structure of CdCuP2, computed with PBE.

a b c (Å): 4.445 4.445 15.223
angles (deg): 90.00 90.00 90.00
Positions (direct):
1 Cd 0.000 0.000 0.000
2 Cd 0.000 0.500 0.250
3 Cd 0.500 0.000 0.750
4 Cd 0.500 0.500 0.500
5 Cu 0.000 0.000 0.500
6 Cu 0.000 0.500 0.750
7 Cu 0.500 0.000 0.250
8 Cu 0.500 0.500 0.000
9 P 0.133 0.250 0.625
10 P 0.250 0.633 0.875
11 P 0.250 0.867 0.375
12 P 0.367 0.250 0.125
13 P 0.633 0.750 0.125
14 P 0.750 0.133 0.375
15 P 0.750 0.367 0.875
16 P 0.867 0.750 0.625

Summary:
ΔE_f (eV/atom): 0.1636
Spin magnetization (μB/f.u.): 0.00
Symmetry: I-42d, No. 122